29
Lattice="-6.203 6.203 6.203 6.203 -6.203 6.203 6.203 6.203 -6.203" Properties=species:S:1:pos:R:3 comment="Tb19Dy6Ho4 (PBE, optimized geometry)" rho_g_cm3=8.10 spacegroup="I23, No. 197" n_ef_per_ev_cell=42.37 total_energy_ev_per_atom=-4.23 ef_ev_per_atom=0.382 pbc="T T T"
Tb 0.000 0.000 0.000
Tb 3.224 0.000 0.000
Tb 9.182 0.000 0.000
Tb 6.980 -2.739 2.959
Tb 3.464 3.244 -0.777
Tb 3.244 -0.777 3.464
Tb 0.000 3.224 0.000
Tb 0.000 0.000 3.224
Tb 8.942 3.244 0.777
Tb 2.959 6.980 -2.739
Tb 5.426 2.739 2.959
Tb -0.777 3.464 3.244
Tb 2.959 5.426 2.739
Tb 2.739 2.959 5.426
Tb 0.000 9.182 0.000
Tb 0.000 0.000 9.182
Tb 3.244 0.777 8.942
Tb -2.739 2.959 6.980
Tb 0.777 8.942 3.244
Dy 6.203 0.000 1.565
Dy 6.203 4.638 0.000
Dy 1.565 6.203 0.000
Dy 4.638 0.000 6.203
Dy 0.000 1.565 6.203
Dy 0.000 6.203 4.638
Ho 3.978 3.978 -3.978
Ho 3.978 -3.978 3.978
Ho 2.225 2.225 2.225
Ho -3.978 3.978 3.978